Compound: Pa2Al9Fe3
Source: the Alexandria database
Functional: PBE-GGA
Structure: relaxed

Cell and atoms, written as POSCAR:
```
Pa2Al9Fe3
1.0
6.559 -3.689 0.000
6.559 3.689 0.000
-4.410 0.000 9.210
Pa Al Fe
4 18 6
Cartesian
1.180 0.560 2.276 Pa
-1.024 -0.560 6.881 Pa
9.733 0.560 2.329 Pa
7.528 -0.560 6.933 Pa
5.451 3.084 0.711 Al
5.463 3.084 3.894 Al
1.138 0.636 5.243 Al
4.090 1.325 2.317 Al
1.082 0.645 8.798 Al
3.252 1.087 6.907 Al
3.343 -0.636 0.639 Al
6.824 1.325 2.288 Al
3.287 -0.645 4.193 Al
5.421 0.645 5.016 Al
1.885 -1.325 6.922 Al
5.366 0.636 8.571 Al
5.457 -1.087 2.302 Al
7.626 -0.645 0.412 Al
4.619 -1.325 6.892 Al
7.571 -0.636 3.966 Al
3.246 -3.084 5.316 Al
3.258 -3.084 8.499 Al
3.280 1.845 0.000 Fe
3.209 1.936 4.533 Fe
7.704 1.936 0.072 Fe
1.075 -1.845 4.605 Fe
1.004 -1.936 9.138 Fe
5.500 -1.936 4.677 Fe
```

Its density of states at the Fermi level is 0.70 states/eV per atom. The calculation puts the total moment at 0.00 μB per cell. The formation energy is -371 meV/atom.